Record 1
4
Lattice="0.0000 3.1923 3.1923 3.1923 0.0000 3.1923 3.1923 3.1923 0.0000" Properties=species:S:1:pos:R:3 comment="PBE LiMgZnSi, relaxed" total_energy_ev_per_atom=-2.530 pbc="T T T"
Li 0.0000 0.0000 0.0000
Mg 4.7884 4.7884 4.7884
Zn 1.5961 1.5961 1.5961
Si 3.1923 3.1923 3.1923

Record 2
44
Lattice="10.0038 0.0000 0.0000 0.0000 10.0038 0.0000 0.0000 0.0000 10.0142" Properties=species:S:1:pos:R:3 comment="PBE In8Fe2Se, relaxed" total_energy_ev_per_atom=-3.791 pbc="T T T"
In 0.0000 0.0000 1.7949
In 0.0000 0.0000 8.2193
In 0.5622 2.9495 2.9104
In 0.5622 2.9495 7.1039
In 1.0063 8.9975 5.0071
In 1.8734 8.1304 0.0000
In 1.9887 1.9887 0.0000
In 2.0524 5.5641 2.0968
In 2.0524 5.5641 7.9175
In 2.9495 0.5622 2.9104
In 2.9495 0.5622 7.1039
In 3.0133 6.9906 5.0071
In 3.1285 3.1285 5.0071
In 3.9956 3.9956 0.0000
In 4.4397 7.9514 2.0968
In 4.4397 7.9514 7.9175
In 5.0019 5.0019 3.2122
In 5.0019 5.0019 6.8021
In 5.5641 2.0524 2.0968
In 5.5641 2.0524 7.9175
In 6.0082 6.0082 0.0000
In 6.8754 6.8754 5.0071
In 6.9906 3.0133 5.0071
In 7.0543 9.4416 2.9104
In 7.0543 9.4416 7.1039
In 7.9514 4.4397 2.0968
In 7.9514 4.4397 7.9175
In 8.0152 8.0152 0.0000
In 8.1304 1.8734 0.0000
In 8.9975 1.0063 5.0071
In 9.4416 7.0543 2.9104
In 9.4416 7.0543 7.1039
Fe 1.8342 8.1696 2.6069
Fe 1.8342 8.1696 7.4073
Fe 3.1677 3.1677 2.4002
Fe 3.1677 3.1677 7.6140
Fe 6.8361 6.8361 2.4002
Fe 6.8361 6.8361 7.6140
Fe 8.1696 1.8342 2.6069
Fe 8.1696 1.8342 7.4073
Se 0.0000 5.0019 0.0000
Se 0.0000 5.0019 5.0071
Se 5.0019 0.0000 0.0000
Se 5.0019 0.0000 5.0071

Record 3
12
Lattice="8.5994 0.0000 0.0000 0.0000 4.2489 0.0000 -1.1665 0.0000 11.4769" Properties=species:S:1:pos:R:3 comment="PBE KHfTlTe3, relaxed" total_energy_ev_per_atom=-4.591 pbc="T T T"
K 1.5792 1.0622 5.5345
K 5.8537 3.1867 5.9424
Hf 2.5182 3.1867 9.5389
Hf 4.9147 1.0622 1.9379
Tl 0.3400 3.1867 1.6512
Tl 7.0929 1.0622 9.8257
Te 0.2076 3.1867 7.9864
Te 1.5363 1.0622 11.3220
Te 3.4443 3.1867 3.3194
Te 3.9886 1.0622 8.1574
Te 5.8966 3.1867 0.1549
Te 7.2253 1.0622 3.4905

Record 4
4
Lattice="0.0000 3.3893 3.3893 3.3893 0.0000 3.3893 3.3893 3.3893 0.0000" Properties=species:S:1:pos:R:3 comment="PBE MgFeSnHg, relaxed" total_energy_ev_per_atom=-3.282 pbc="T T T"
Mg 0.0000 0.0000 0.0000
Fe 3.3893 3.3893 3.3893
Sn 1.6946 1.6946 1.6946
Hg 5.0839 5.0839 5.0839

Record 5
16
Lattice="6.0461 0.0000 0.0000 0.0000 7.5232 0.0000 0.0000 0.0000 4.8884" Properties=species:S:1:pos:R:3 comment="PBE DyTcNO, relaxed" total_energy_ev_per_atom=-8.179 pbc="T T T"
Dy 0.3544 1.1558 0.0000
Dy 2.6687 1.1558 2.4442
Dy 3.3774 6.3675 0.0000
Dy 5.6917 6.3675 2.4442
Tc 0.8371 4.9881 4.8509
Tc 2.1860 4.9881 2.4067
Tc 3.8601 2.5351 4.8509
Tc 5.2090 2.5351 2.4067
N 0.3624 1.0481 2.4348
N 2.6606 1.0481 4.8790
N 3.3855 6.4751 2.4348
N 5.6837 6.4751 4.8790
O 0.2337 4.2089 2.9964
O 2.7894 4.2089 0.5522
O 3.2567 3.3143 2.9964
O 5.8124 3.3143 0.5522

Record 6
10
Lattice="3.2318 1.8659 5.2981 -3.2318 1.8659 5.2981 0.0000 -3.7317 5.2981" Properties=species:S:1:pos:R:3 comment="PBE BaTbO3, relaxed" total_energy_ev_per_atom=-6.539 pbc="T T T"
Ba 0.0000 0.0000 0.0000
Ba 0.0000 0.0000 7.9472
Tb 0.0000 0.0000 3.9736
Tb 0.0000 0.0000 11.9208
O -2.1733 -0.0326 6.6226
O -1.0584 -1.8984 9.2717
O 1.1149 -1.8659 6.6227
O -1.1149 1.8659 9.2717
O 1.0584 1.8984 6.6226
O 2.1733 0.0326 9.2717